Entry 1:
The following is a SCAN calculation of CsKHfCu2 at its PBEsol-relaxed geometry, from Alexandria.

```
5
Lattice="5.4547 0.0000 0.0000 0.0000 5.4547 0.0000 0.0000 0.0000 5.6372" Properties=species:S:1:pos:R:3 pbc="T T T"
Cs 0.0000 0.0000 0.0000
K 2.7274 2.7274 2.8186
Hf 0.0000 0.0000 2.8186
Cu 0.0000 2.7274 0.0000
Cu 2.7274 0.0000 0.0000
```

Summary:
- Crystal system: tetragonal
- Density of states at the Fermi level: 0.909 states/eV per atom
- Formation energy: 2.059 eV per atom

Entry 2:
The following is a SCAN calculation of Cs2HfCuS at its PBEsol-relaxed geometry, from Alexandria.

```
5
Lattice="6.8957 0.0000 0.0000 0.0000 6.8957 0.0000 0.0000 0.0000 4.0815" Properties=species:S:1:pos:R:3 pbc="T T T"
Cs 0.0000 3.4479 0.0000
Cs 3.4479 0.0000 0.0000
Hf 0.0000 0.0000 2.0408
Cu 3.4479 3.4479 2.0408
S 3.4479 3.4479 0.0000
```

Summary:
- Crystal system: tetragonal
- Density of states at the Fermi level: 1.268 states/eV per atom
- ΔE_f (raw): 544 meV per atom

Entry 3:
The following is a SCAN calculation of Cs3Hf2CuTe10 at its PBEsol-relaxed geometry, from Alexandria.

```
32
Lattice="9.9031 0.0000 0.0000 -2.2569 10.7458 0.0000 -0.0788 -0.2742 11.0461" Properties=species:S:1:pos:R:3 pbc="T T T"
Cs -0.0248 2.8227 1.2473
Cs 1.6342 1.1903 6.7087
Cs 2.3587 6.3496 8.4236
Cs 5.2087 4.1221 2.6225
Cs 5.9332 9.2813 4.3374
Cs 7.5921 7.6489 9.7988
Hf 0.3949 6.9774 3.9459
Hf 1.9014 9.3749 1.4975
Hf 5.6660 1.0967 9.5486
Hf 7.1725 3.4942 7.1002
Cu 3.8928 1.3137 0.6453
Cu 3.6746 9.1579 10.4008
Te -0.6987 4.2264 8.9378
Te -0.8080 7.9039 6.3290
Te -0.8941 9.1471 2.2930
Te 0.7145 4.3104 4.8119
Te 1.4095 6.5532 1.1558
Te 2.8246 0.9050 2.9121
Te 1.1659 9.8717 9.8743
Te 2.2176 9.1888 4.3746
Te 3.4705 2.9388 10.0320
Te 3.1524 6.5471 4.7746
Te 4.4150 3.9245 6.2715
Te 4.0969 7.5328 1.0141
Te 5.3498 1.2828 6.6715
Te 6.4015 0.5999 1.1718
Te 4.7427 9.5667 8.1340
Te 6.1579 3.9184 9.8902
Te 6.8528 6.1612 6.2342
Te 8.4615 1.3245 8.7531
Te 8.3754 2.5677 4.7171
Te 8.2661 6.2452 2.1083
```

Summary:
- Crystal system: triclinic
- ΔE_f (raw): -817 meV per atom

Entry 4:
The following is a SCAN calculation of CsCu3Hg at its PBEsol-relaxed geometry, from Alexandria.

```
5
Lattice="5.2458 0.0000 0.0000 0.0000 5.2458 0.0000 0.0000 0.0000 5.2458" Properties=species:S:1:pos:R:3 pbc="T T T"
Cs 0.0000 0.0000 0.0000
Cu 0.0000 0.0000 2.6229
Cu 0.0000 2.6229 0.0000
Cu 2.6229 0.0000 0.0000
Hg 2.6229 2.6229 2.6229
```

Summary:
- Crystal system: cubic
- Density of states at the Fermi level: 0.700 states/eV per atom
- Formation energy: 1.874 eV per atom

Entry 5:
The following is a SCAN calculation of CsCu2Hg2 at its PBEsol-relaxed geometry, from Alexandria.

```
5
Lattice="-2.4024 2.4024 5.3521 2.4024 -2.4024 5.3521 2.4024 2.4024 -5.3521" Properties=species:S:1:pos:R:3 pbc="T T T"
Cs 0.0000 0.0000 0.0000
Cu 2.4024 0.0000 2.6761
Cu 0.0000 2.4024 2.6761
Hg 0.0000 0.0000 3.7820
Hg 0.0000 0.0000 6.9222
```

Summary:
- Crystal system: tetragonal
- Density of states at the Fermi level: 0.302 states/eV per atom
- Formation energy: 0.136 eV per atom

Entry 6:
The following is a SCAN calculation of CsCu3I at its PBEsol-relaxed geometry, from Alexandria.

```
5
Lattice="5.1903 0.0000 0.0000 0.0000 5.1903 0.0000 0.0000 0.0000 5.1903" Properties=species:S:1:pos:R:3 pbc="T T T"
Cs 0.0000 0.0000 0.0000
Cu 0.0000 2.5951 2.5951
Cu 2.5951 0.0000 2.5951
Cu 2.5951 2.5951 0.0000
I 2.5951 2.5951 2.5951
```

Summary:
- Crystal system: cubic
- Density of states at the Fermi level: 0.406 states/eV per atom
- ΔE_f (raw): 877 meV per atom
- Excess energy over the best structure of this formula in the dataset: 0.0000 eV/atom

Entry 7:
The following is a SCAN calculation of CsCu3I at its PBEsol-relaxed geometry, from Alexandria.

```
5
Lattice="5.2864 0.0000 0.0000 0.0000 5.2864 0.0000 0.0000 0.0000 5.2864" Properties=species:S:1:pos:R:3 pbc="T T T"
Cs 0.0000 0.0000 0.0000
Cu 0.0000 0.0000 2.6432
Cu 0.0000 2.6432 0.0000
Cu 2.6432 0.0000 0.0000
I 2.6432 2.6432 2.6432
```

Summary:
- Crystal system: cubic
- Density of states at the Fermi level: 0.566 states/eV per atom
- ΔE_f (raw): 1671 meV per atom
- Excess energy over the best structure of this formula in the dataset: 0.7942 eV/atom

Entry 8:
The following is a SCAN calculation of CsCu2I at its PBEsol-relaxed geometry, from Alexandria.

```
4
Lattice="0.0000 3.6748 3.6748 3.6748 0.0000 3.6748 3.6748 3.6748 0.0000" Properties=species:S:1:pos:R:3 pbc="T T T"
Cs 0.0000 0.0000 0.0000
Cu 1.8374 1.8374 1.8374
Cu 5.5122 5.5122 5.5122
I 3.6748 3.6748 3.6748
```

Summary:
- Crystal system: cubic
- Density of states at the Fermi level: 0.546 states/eV per atom
- ΔE_f (raw): 685 meV per atom

Number 1: theoretical density 4.73 g/cm³. Number 2: theoretical density 4.62 g/cm³. Number 3: theoretical density 5.92 g/cm³. Number 4: theoretical density 6.03 g/cm³. Number 5: theoretical density 8.89 g/cm³. Number 6: theoretical density 5.35 g/cm³. Number 7: theoretical density 5.06 g/cm³. Number 8: theoretical density 6.47 g/cm³.